Below is a relaxed structure of TiV6W, with properties calculated at the GGA-PBE level.

The calculation puts the energy above the lowest structure with this stoichiometry at 0.188 eV per atom. As for the total moment: 0.00 μB/f.u. The energy of formation comes out at 0.2090 eV/atom. For the total energy, the calculation gives -9.2359 eV per atom.

The structure belongs to space group R-3m (No. 166, hexagonal axes); the cell edges are 8.9236, 8.9236 and 5.0432 Å and the angles 90.00°, 90.00° and 120.00°. Symmetry generates all atoms from Ti at (0.0000, 0.0000, 0.0000), V at (0.0015, 0.5008, 0.2497) and W at (0.0000, 0.0000, 0.5000).

Below is a relaxed structure of NdEr4Sc2, with properties calculated at the GGA-PBE level.

The calculation puts the energy above the lowest structure with this stoichiometry at 0.096 eV per atom. As for the total moment: 0.00 μB/f.u. The energy of formation comes out at 0.1414 eV/atom. For the total energy, the calculation gives -4.9560 eV per atom.

The structure belongs to space group P2_1/m (No. 11); the cell edges are 5.577, 6.620 and 11.491 Å and the angles 90.00°, 103.35° and 90.00°. Symmetry generates all atoms from Nd at (0.006, 0.250, 0.366), Er at (0.121, 0.250, 0.660), Er at (0.236, 0.750, 0.927), Er at (0.347, 0.503, 0.204), Sc at (0.199, 0.250, 0.937) and Sc at (0.435, 0.750, 0.504).

Below is a relaxed structure of KBaNdI6, with properties calculated at the GGA-PBE level.

As for the total moment: 0.00 μB/f.u. The calculation puts the formation energy from raw total energies at -1.5476 eV per atom. For the total energy, the calculation gives -3.4464 eV per atom.

The structure belongs to space group P-31c (No. 163); the cell edges are 8.5639, 8.5639 and 15.0959 Å and the angles 90.00°, 90.00° and 120.00°. Symmetry generates all atoms from K at (0.0000, 0.0000, 0.0000), Ba at (0.3333, 0.6667, 0.2500), Nd at (0.3333, 0.6667, 0.7500) and I at (0.0298, 0.3729, 0.6293).

Below is a relaxed structure of BeAg2Pb, with properties calculated at the GGA-PBE level.

The calculation puts the energy above the lowest structure with this stoichiometry at 0.170 eV per atom. As for the total moment: 0.00 μB/f.u. The energy of formation comes out at 0.3820 eV/atom. For the total energy, the calculation gives -2.9022 eV per atom.

The structure belongs to space group R3m (No. 160, hexagonal axes); the cell edges are 3.1557, 3.1557 and 26.7897 Å and the angles 90.00°, 90.00° and 120.00°. Symmetry generates all atoms from Be at (0.0000, 0.0000, 0.0000), Ag at (0.0000, 0.0000, 0.2723), Ag at (0.0000, 0.0000, 0.5202) and Pb at (0.0000, 0.0000, 0.7544).

What is the formula in the first record?
TiV6W